DFT (PBE with a Hubbard U) results for a relaxed structure of CoPbSO.

## Properties
**Raw total energy**: -73.9 eV per cell

a b c (Å): 3.046 15.243 5.706
angles (deg): 90.00 90.00 90.00
Space group Cmcm (No. 63)
Inequivalent atoms, fractional coordinates:
Co: 0.000 0.050 0.250 x4
Pb: 0.000 0.358 0.250 x4
S: 0.000 0.327 0.750 x4
O: 0.000 0.500 0.000 x4